Entry from Alexandria: a relaxed PuMoPbO6 crystal (PBE+U).

## Properties
As for the energy: -72.596 eV per formula unit. For the density of states at the Fermi level, the calculation gives 16.972 states/eV per cell.

Cell: 5.5869 5.5869 10.5160 Å, 90.00 90.00 120.00°
Closest atoms and distances in Å follow each position.
Positions (direct):
Pu  0.3333  0.6667  0.2500  6 O 2.15
Pu  0.6667  0.3333  0.7500  6 O 2.15
Mo  0.3333  0.6667  0.7500  6 O 2.00
Mo  0.6667  0.3333  0.2500  6 O 2.00
Pb  0.0000  0.0000  0.0000  6 O 2.59
Pb  0.0000  0.0000  0.5000  6 O 2.59
O  0.0202  0.3834  0.6458  1 Mo 2.00, 1 Pu 2.15
O  0.0202  0.6367  0.8542  1 Mo 2.00, 1 Pu 2.15
O  0.3633  0.3834  0.8542  1 Mo 2.00, 1 Pu 2.15
O  0.3633  0.9798  0.6458  1 Mo 2.00, 1 Pu 2.15
O  0.3834  0.0202  0.1458  1 Mo 2.00, 1 Pu 2.15
O  0.3834  0.3633  0.3542  1 Mo 2.00, 1 Pu 2.15
O  0.6166  0.6367  0.6458  1 Mo 2.00, 1 Pu 2.15
O  0.6166  0.9798  0.8542  1 Mo 2.00, 1 Pu 2.15
O  0.6367  0.0202  0.3542  1 Mo 2.00, 1 Pu 2.15
O  0.6367  0.6166  0.1458  1 Mo 2.00, 1 Pu 2.15
O  0.9798  0.3633  0.1458  1 Mo 2.00, 1 Pu 2.15
O  0.9798  0.6166  0.3542  1 Mo 2.00, 1 Pu 2.15